A relaxed Zn2O5 crystal, computed with PBE.

Cell lengths 3.6796, 3.6796, 6.8586 Å; angles 90.00, 90.00, 90.00 degrees
Closest atoms and distances in Å follow each position.
Fractional coordinates of all 7 atoms:
Zn 0.0000 0.0000 0.2408  1 O 1.78
Zn 0.0000 0.0000 0.7592  1 O 1.78
O 0.0000 0.0000 0.5000  2 Zn 1.78
O 0.0000 0.5000 0.0990  1 O 1.36
O 0.0000 0.5000 0.9010  1 O 1.36
O 0.5000 0.0000 0.0990  1 O 1.36
O 0.5000 0.0000 0.9010  1 O 1.36

Properties
Calculated volume   13.27 Å³ per atom
Total DFT energy (no corrections)   -4.276 eV per atom